# 1
Here is crystalline La6Ce at its relaxed geometry from the Alexandria database. Energies are from PBE-GGA.

Calculated values
DFT total energy ... -4.155 eV/atom
DFT formation energy ... 0.916 eV/atom

Cell: 8.258 8.258 8.258 Å, 90.00 90.00 90.00°
Space group Im-3m (No. 229)
One atom of each set of equivalent atoms:
La (0.000, 0.250, 0.500) [12 per cell]
Ce (0.000, 0.000, 0.000) [2 per cell]

# 2
Here is crystalline La2Ce3 at its relaxed geometry from the Alexandria database. Energies are from PBE-GGA.

Calculated values
DFT total energy ... -5.141 eV/atom
DFT formation energy ... 0.390 eV/atom

Cell: 7.8908 7.8908 16.5986 Å, 90.00 90.00 120.00°
Space group R-3c (No. 167, hexagonal axes)
One atom of each set of equivalent atoms:
La (0.0000, 0.0000, 0.0973) [12 per cell]
Ce (0.0000, 0.2562, 0.2500) [18 per cell]

# 3
Here is crystalline LaCe at its relaxed geometry from the Alexandria database. Energies are from PBE-GGA.

Calculated values
ΔE to the lowest computed polymorph ... 0.000 eV per atom
DFT total energy ... -5.361 eV/atom
DFT formation energy ... 0.070 eV/atom

Cell: 3.509 4.938 7.150 Å, 90.00 90.00 90.00°
Space group Pmmn (No. 59, origin choice 2)
One atom of each set of equivalent atoms:
La (0.250, 0.250, 0.141) [2 per cell]
Ce (0.250, 0.250, 0.613) [2 per cell]

# 4
Here is crystalline La4Ce at its relaxed geometry from the Alexandria database. Energies are from PBE-GGA.

Calculated values
ΔE to the lowest computed polymorph ... 0.345 eV per atom
DFT total energy ... -4.738 eV/atom
DFT formation energy ... 0.390 eV/atom

Cell: 5.758 5.758 5.758 Å, 90.00 90.00 90.00°
Space group Pm-3m (No. 221)
One atom of each set of equivalent atoms:
La (0.000, 0.000, 0.000) [1 per cell]
La (0.000, 0.500, 0.500) [3 per cell]
Ce (0.500, 0.500, 0.500) [1 per cell]